(1)
The following is a DFT calculation (PBE-GGA) of crystalline Th2ZrInN5 at its relaxed geometry.

The structure in POSCAR format:
```
Th2ZrInN5
1.0
1.749 -7.051 0.000
1.749 7.051 0.000
0.000 0.000 10.753
Th Zr In N
4 2 2 10
direct
0.116 0.884 0.500 Th
0.133 0.867 0.087 Th
0.867 0.133 0.587 Th
0.884 0.116 0.000 Th
0.217 0.783 0.809 Zr
0.783 0.217 0.309 Zr
0.476 0.524 0.283 In
0.524 0.476 0.783 In
0.064 0.936 0.879 N
0.283 0.717 0.467 N
0.300 0.700 0.180 N
0.365 0.635 0.836 N
0.495 0.505 0.587 N
0.505 0.495 0.087 N
0.635 0.365 0.336 N
0.700 0.300 0.680 N
0.717 0.283 0.967 N
0.936 0.064 0.379 N
```

=====

(2)
The following is a DFT calculation (PBE-GGA) of crystalline Ti2InN at its relaxed geometry.

The structure in POSCAR format:
```
Ti2InN
1.0
3.058 0.000 0.000
-1.529 2.649 0.000
0.000 0.000 7.306
Ti In N
2 1 1
direct
0.000 0.000 0.171 Ti
0.000 0.000 0.829 Ti
0.667 0.333 0.500 In
0.333 0.667 0.000 N
```

## Properties
* Fermi-level density of states: 0.66 states/eV/atom

=====

Table of formation energy without anion corrections (eV/atom), in record order: -1.1108 -0.7936